1.
DFT (GGA-PBEsol) results for a relaxed Ca3Ag8 crystal.

Computed properties:
DFT formation energy: -0.223 eV per atom

Cell lengths 9.7630, 9.7630, 9.7630 Å; angles 90.00, 90.00, 90.00 degrees
Space group Im-3m (No. 229)
Unique sites:
Ca  0.0000  0.0000  0.2786 (multiplicity 12)
Ag  0.0000  0.3423  0.3423 (multiplicity 24)
Ag  0.2500  0.2500  0.2500 (multiplicity 8)


2.
DFT (GGA-PBEsol) results for a relaxed CsPdW2 crystal.

Computed properties:
DFT formation energy: 1.922 eV per atom

Cell lengths 6.5371, 6.5371, 6.5371 Å; angles 90.00, 90.00, 90.00 degrees
Space group Fm-3m (No. 225)
Unique sites:
Cs  0.0000  0.0000  0.0000 (multiplicity 4)
Pd  0.0000  0.0000  0.5000 (multiplicity 4)
W  0.2500  0.2500  0.2500 (multiplicity 8)


3.
DFT (GGA-PBEsol) results for a relaxed MgCu2O4 crystal.

Computed properties:
Uncorrected formation energy: -1.066 eV/atom
Polymorph energy (0 for the lowest one): 67 meV/atom

Cell lengths 5.4096, 5.4096, 10.6739 Å; angles 90.00, 90.00, 90.00 degrees
Space group I4_1/amd (No. 141, origin choice 2)
Unique sites:
Mg  0.0000  0.2500  0.3750 (multiplicity 4)
Cu  0.0000  0.0000  0.0000 (multiplicity 8)
O  0.0000  0.0229  0.7492 (multiplicity 16)


4.
DFT (GGA-PBEsol) results for a relaxed Co3P6WO24 crystal.

Computed properties:
Uncorrected formation energy: -1.739 eV/atom

Cell lengths 8.0828, 8.0828, 21.3657 Å; angles 90.00, 90.00, 120.00 degrees
Space group R3 (No. 146, hexagonal axes)
Unique sites:
Co  0.0000  0.0000  0.0000 (multiplicity 3)
Co  0.0000  0.0000  0.2126 (multiplicity 3)
Co  0.0000  0.0000  0.7045 (multiplicity 3)
P  0.0464  0.3755  0.2736 (multiplicity 9)
P  0.0689  0.6807  0.7673 (multiplicity 9)
W  0.0000  0.0000  0.4911 (multiplicity 3)
O  0.0027  0.1915  0.5435 (multiplicity 9)
O  0.0178  0.8180  0.4405 (multiplicity 9)
O  0.0851  0.8725  0.0486 (multiplicity 9)
O  0.1015  0.8802  0.7546 (multiplicity 9)
O  0.1498  0.6787  0.8316 (multiplicity 9)
O  0.1714  0.4756  0.9337 (multiplicity 9)
O  0.2017  0.4476  0.6169 (multiplicity 9)
O  0.2076  0.4490  0.3231 (multiplicity 9)


5.
DFT (GGA-PBEsol) results for a relaxed TaTl3Fe crystal.

Computed properties:
DFT formation energy: 1.478 eV per atom

Cell lengths 5.3534, 5.3534, 5.3534 Å; angles 90.00, 90.00, 90.00 degrees
Space group Pm-3m (No. 221)
Unique sites:
Ta  0.0000  0.0000  0.0000 (multiplicity 1)
Tl  0.0000  0.0000  0.5000 (multiplicity 3)
Fe  0.5000  0.5000  0.5000 (multiplicity 1)


6.
DFT (GGA-PBEsol) results for a relaxed Cs2PrAgF6 crystal.

Computed properties:
Uncorrected formation energy: -2.870 eV/atom

Cell lengths 9.3668, 9.3668, 9.3668 Å; angles 90.00, 90.00, 90.00 degrees
Space group Fm-3m (No. 225)
Unique sites:
Cs  0.2500  0.2500  0.2500 (multiplicity 8)
Pr  0.0000  0.0000  0.0000 (multiplicity 4)
Ag  0.0000  0.0000  0.5000 (multiplicity 4)
F  0.0000  0.0000  0.2427 (multiplicity 24)


7.
DFT (GGA-PBEsol) results for a relaxed Mo2OsPt crystal.

Computed properties:
DFT formation energy: -0.150 eV per atom
Polymorph energy (0 for the lowest one): 32 meV/atom

Cell lengths 5.4773, 7.8374, 2.7365 Å; angles 90.00, 90.00, 90.00 degrees
Space group Cmmm (No. 65)
Unique sites:
Mo  0.2500  0.2500  0.0000 (multiplicity 4)
Os  0.0000  0.0000  0.5000 (multiplicity 2)
Pt  0.0000  0.5000  0.5000 (multiplicity 2)


8.
DFT (GGA-PBEsol) results for a relaxed TcMo3 crystal.

Computed properties:
DFT formation energy: 0.334 eV per atom
Polymorph energy (0 for the lowest one): 300 meV/atom

Cell lengths 2.5632, 4.5929, 5.1595 Å; angles 90.00, 90.00, 90.00 degrees
Space group Pmm2 (No. 25)
Unique sites:
Tc  0.0000  0.0000  0.0000 (multiplicity 1)
Mo  0.0000  0.5000  0.7006 (multiplicity 1)
Mo  0.5000  0.0000  0.4963 (multiplicity 1)
Mo  0.5000  0.5000  0.1959 (multiplicity 1)


| no. | Fermi-level density of states (states/eV/f.u.) | raw total energy (eV per atom) | size of the total moment (μB/cell) |
| --- | --- | --- | --- |
| 1 | 3.73 | -3.212 | 0.0 |
| 2 | 3.72 | -6.707 | 0.0 |
| 3 | 0.06 | -5.549 | 0.0 |
| 4 | 13.82 | -7.555 | 9.2 |
| 5 | 9.50 | -4.403 | 3.4 |
| 6 | 0.00 | -5.064 | 0.0 |
| 7 | 2.88 | -10.829 | 0.0 |
| 8 | 5.45 | -11.309 | 0.0 |